No. 1
Material: KNi3
Method: DFT, GGA-PBE
State: optimized geometry

Properties
- energy above the most stable polymorph in this dataset (meV/atom) = 435
- mass density (Mg/m³) = 5.9
- total DFT energy (no corrections) (eV/atom) = -3.40
- total moment (Bohr magnetons per cell) = 0.78

Geometry as POSCAR:
```
KNi3
1.0
2.7830 -3.1243 1.4026
0.4330 -0.7915 4.3196
-1.5742 -3.7439 1.7259
Ni K
3 1
Direct
0.0000 0.0000 0.0000
0.2500 0.2500 0.2500
0.5000 0.5000 0.5000
0.7500 0.7500 0.7500
```

No. 2
Material: K2Ni3
Method: DFT, GGA-PBE
State: optimized geometry

Properties
- mass density (Mg/m³) = 3.0
- total DFT energy (no corrections) (eV/atom) = -2.72
- total moment (Bohr magnetons per cell) = 4.83

Geometry as POSCAR:
```
K2Ni3
1.0
-7.3682 0.0000 0.0000
3.6841 -6.3810 0.0000
-3.6841 2.1270 5.9991
Ni K
6 4
Direct
0.9277 0.4277 0.7500
0.2500 0.9277 0.2500
0.4277 0.7500 0.2500
0.5723 0.2500 0.7500
0.0723 0.5723 0.2500
0.7500 0.0723 0.7500
0.4091 0.5909 0.7727
0.9091 0.0909 0.2727
0.0909 0.9091 0.7273
0.5909 0.4091 0.2273
```

No. 3
Material: KNpNi
Method: DFT, GGA-PBE
State: optimized geometry

Properties
- mass density (Mg/m³) = 7.0
- total DFT energy (no corrections) (eV/atom) = -5.01
- total moment (Bohr magnetons per cell) = 5.07

Geometry as POSCAR:
```
KNpNi
1.0
0.0000 3.4116 3.4116
3.4116 0.0000 3.4116
3.4116 3.4116 0.0000
Ni K Np
1 1 1
Direct
0.7500 0.7500 0.7500
0.2500 0.2500 0.2500
0.0000 0.0000 0.0000
```

No. 4
Material: KNi3P5
Method: DFT, GGA-PBE
State: optimized geometry

Properties
- mass density (Mg/m³) = 3.8
- total DFT energy (no corrections) (eV/atom) = -5.11
- total moment (Bohr magnetons per cell) = 0.19

Geometry as POSCAR:
```
KNi3P5
1.0
4.8798 0.0000 0.0000
-2.4399 4.2261 0.0000
0.0000 0.0000 7.9163
Ni P K
3 5 1
Direct
0.5000 0.0000 0.5000
0.0000 0.5000 0.5000
0.5000 0.5000 0.5000
0.6667 0.3333 0.2688
0.3333 0.6667 0.2688
0.3333 0.6667 0.7312
0.6667 0.3333 0.7312
0.0000 0.0000 0.5000
0.0000 0.0000 0.0000
```

No. 5
Material: K5Ni3P3
Method: DFT, GGA-PBE
State: optimized geometry

Properties
- mass density (Mg/m³) = 2.2
- total DFT energy (no corrections) (eV/atom) = -3.72
- total moment (Bohr magnetons per cell) = 0.01

Geometry as POSCAR:
```
K5Ni3P3
1.0
9.9167 0.0000 0.0000
-4.9583 8.5881 0.0000
0.0000 0.0000 4.1414
K Ni P
5 3 3
Direct
0.0000 0.7333 0.5000
0.7333 0.0000 0.5000
0.2667 0.2667 0.5000
0.3333 0.6667 0.5000
0.6667 0.3333 0.5000
0.6359 0.6359 0.0000
0.3641 0.0000 0.0000
0.0000 0.3641 0.0000
0.3654 0.0000 0.5000
0.6346 0.6346 0.5000
0.0000 0.3654 0.5000
```

No. 6
Material: K4NiP2S8
Method: DFT, GGA-PBE
State: optimized geometry

Properties
- mass density (Mg/m³) = 2.2
- total DFT energy (no corrections) (eV/atom) = -4.42
- total moment (Bohr magnetons per cell) = 0.00

Geometry as POSCAR:
```
K4NiP2S8
1.0
6.4353 0.0000 0.0000
0.6152 6.9034 0.0000
1.3264 0.4284 8.8885
K S Ni P
4 8 1 2
Direct
0.7121 0.6644 0.8602
0.2542 0.7818 0.5190
0.7458 0.2182 0.4810
0.2879 0.3356 0.1398
0.2398 0.2532 0.5145
0.1347 0.8128 0.1767
0.7755 0.4767 0.1859
0.8653 0.1872 0.8233
0.3108 0.0342 0.8626
0.2245 0.5233 0.8141
0.6892 0.9658 0.1374
0.7602 0.7468 0.4855
0.0000 0.0000 0.0000
0.1704 0.2643 0.7417
0.8296 0.7357 0.2583
```